! Ca2Pm3In4, relaxed, DFT PBE; values from VASP
&SYSTEM
  ibrav = 0, nat = 18, ntyp = 3
/
ATOMIC_SPECIES
In 114.82 In.upf
Ca 40.08 Ca.upf
Pm 145.00 Pm.upf
CELL_PARAMETERS angstrom
-1.780 -4.596 5.380
5.012 -6.838 -4.184
7.729 4.680 1.608
ATOMIC_POSITIONS angstrom
In 1.262 -2.700 0.584
In 9.699 -4.054 2.219
In 10.589 -1.756 -0.470
In 7.423 -5.745 -2.452
In 0.373 -4.998 3.274
In 4.323 -5.027 2.083
In 3.538 -1.009 5.256
In 6.638 -1.727 0.721
Ca 4.339 -3.372 -1.445
Ca 6.622 -3.382 4.249
Ca 5.264 -8.147 -0.271
Ca 5.697 1.393 3.075
Pm 3.813 -1.812 2.187
Pm 8.038 -2.644 -2.073
Pm 1.616 -5.717 0.598
Pm 7.148 -4.942 0.617
Pm 2.923 -4.110 4.877
Pm 0.000 0.000 0.000
! Energy of formation from the pure elements (eV per atom): -0.26
! Density of states at the Fermi level (states/eV/atom): 0.94
! Total DFT energy (no corrections) (eV/atom): -3.50

=====

! HgAsBr2, relaxed, DFT PBE; values from VASP
&SYSTEM
  ibrav = 0, nat = 4, ntyp = 3
/
ATOMIC_SPECIES
Br 79.90 Br.upf
As 74.92 As.upf
Hg 200.59 Hg.upf
CELL_PARAMETERS angstrom
-4.305 3.906 2.882
-4.920 -2.615 -3.324
4.356 -0.939 4.716
ATOMIC_POSITIONS angstrom
Br -0.598 0.084 -0.029
Br -1.740 1.731 3.715
As -2.724 -1.435 0.579
Hg -4.419 0.618 -0.212
! ΔE to the lowest computed polymorph (eV/atom): 0.1442
! Formation energy without anion corrections (eV per formula unit): 0.075
! Total DFT energy (no corrections) (eV/atom): -2.06

=====

! CrTe2HN, relaxed, DFT PBE; values from VASP
&SYSTEM
  ibrav = 0, nat = 5, ntyp = 4
/
ATOMIC_SPECIES
Te 127.60 Te.upf
N 14.01 N.upf
H 1.01 H.upf
Cr 52.00 Cr.upf
CELL_PARAMETERS angstrom
5.047 0.000 0.000
0.000 5.047 0.000
0.000 0.000 2.843
ATOMIC_POSITIONS angstrom
Te 2.524 0.000 0.000
Te 0.000 2.524 0.000
N 0.000 0.000 1.422
H 0.000 0.000 0.000
Cr 2.524 2.524 1.422
! Density of states at the Fermi level (states/eV/atom): 1.34
! ΔE to the lowest computed polymorph (eV/atom): 0.5990
! Total DFT energy (no corrections) (eV/atom): -4.31

=====

! Hf2Zr3In, relaxed, DFT PBE; values from VASP
&SYSTEM
  ibrav = 0, nat = 12, ntyp = 3
/
ATOMIC_SPECIES
In 114.82 In.upf
Hf 178.49 Hf.upf
Zr 91.22 Zr.upf
CELL_PARAMETERS angstrom
-3.323 3.535 -1.816
-4.195 -2.550 2.712
1.605 5.390 7.551
ATOMIC_POSITIONS angstrom
In -2.574 2.480 9.535
In -1.813 -0.733 1.890
Hf -3.585 -1.087 4.443
Hf -1.432 3.736 2.502
Hf -3.254 3.384 5.151
Hf -0.677 2.910 6.901
Zr -0.914 5.507 5.001
Zr -3.796 1.599 2.668
Zr -2.946 0.781 6.909
Zr -1.114 1.165 4.305
Zr -2.181 1.781 0.067
Zr -2.912 5.092 7.849
! Energy of formation from the pure elements (eV per atom): -0.08
! Density of states at the Fermi level (states/eV/atom): 0.90
! ΔE to the lowest computed polymorph (eV/atom): 0.0000
! Total DFT energy (no corrections) (eV/atom): -8.13

=====

! LaTeCl4, relaxed, DFT PBE; values from VASP
&SYSTEM
  ibrav = 0, nat = 6, ntyp = 3
/
ATOMIC_SPECIES
Cl 35.45 Cl.upf
Te 127.60 Te.upf
La 138.91 La.upf
CELL_PARAMETERS angstrom
0.000 4.181 4.181
4.181 0.000 4.181
4.181 4.181 0.000
ATOMIC_POSITIONS angstrom
Cl 3.138 5.224 5.224
Cl 5.224 3.138 5.224
Cl 5.224 5.224 3.138
Cl 3.138 3.138 3.138
Te 0.000 0.000 0.000
La 6.272 6.272 6.272
! Density of states at the Fermi level (states/eV/atom): 1.30
! Formation energy without anion corrections (eV per formula unit): -3.088
! Total DFT energy (no corrections) (eV/atom): -3.09

=====

! Ta4NbAl, relaxed, DFT PBE; values from VASP
&SYSTEM
  ibrav = 0, nat = 12, ntyp = 3
/
ATOMIC_SPECIES
Ta 180.95 Ta.upf
Nb 92.91 Nb.upf
Al 26.98 Al.upf
CELL_PARAMETERS angstrom
-2.939 3.277 0.640
-0.408 -1.406 5.328
8.820 4.526 1.870
ATOMIC_POSITIONS angstrom
Ta 3.717 5.739 3.143
Ta 4.024 2.311 6.642
Ta 1.769 0.702 4.529
Ta -0.784 1.690 3.204
Ta 1.247 3.385 3.848
Ta 3.940 2.780 3.857
Ta 1.335 2.934 6.564
Ta 6.060 4.027 7.210
Nb 5.979 4.503 4.398
Nb -0.694 1.246 5.893
Al 3.491 5.016 5.804
Al 1.994 1.422 1.876
! Energy of formation from the pure elements (eV per atom): 0.43
! Density of states at the Fermi level (states/eV/atom): 0.87
! ΔE to the lowest computed polymorph (eV/atom): 0.4498
! Total DFT energy (no corrections) (eV/atom): -9.77

=====

! AgRhCl3, relaxed, DFT PBE; values from VASP
&SYSTEM
  ibrav = 0, nat = 5, ntyp = 3
/
ATOMIC_SPECIES
Cl 35.45 Cl.upf
Ag 107.87 Ag.upf
Rh 102.91 Rh.upf
CELL_PARAMETERS angstrom
-2.446 -2.485 -3.595
3.371 -3.695 0.261
-2.782 -2.292 3.477
ATOMIC_POSITIONS angstrom
Cl -1.391 -1.146 1.739
Cl -1.223 -1.243 -1.798
Cl 1.685 -1.848 0.131
Ag 0.000 0.000 0.000
Rh -0.929 -4.237 0.071
! Density of states at the Fermi level (states/eV/atom): 2.50
! ΔE to the lowest computed polymorph (eV/atom): 0.5998
! Formation energy without anion corrections (eV per formula unit): 2.215
! Total DFT energy (no corrections) (eV/atom): -2.71

=====

! LiMgPb2, relaxed, DFT PBE; values from VASP
&SYSTEM
  ibrav = 0, nat = 8, ntyp = 3
/
ATOMIC_SPECIES
Pb 207.20 Pb.upf
Mg 24.30 Mg.upf
Li 6.94 Li.upf
CELL_PARAMETERS angstrom
8.062 0.000 0.000
0.000 8.062 0.000
4.031 4.031 3.278
ATOMIC_POSITIONS angstrom
Pb 6.047 6.142 2.458
Pb 5.952 2.016 0.819
Pb 10.078 9.983 2.458
Pb 2.110 6.047 0.819
Mg 8.062 4.031 1.639
Mg 0.000 0.000 0.000
Li 4.031 4.031 0.000
Li 4.031 8.062 1.639
! Energy of formation from the pure elements (eV per atom): 0.05
! Density of states at the Fermi level (states/eV/atom): 0.52
! Total DFT energy (no corrections) (eV/atom): -2.68